(1)
Ho4TmP5: relaxed, PBE-GGA.

Computed properties:
For the formation energy, the calculation gives -1614 meV per atom. For the total magnetic moment, the calculation gives 0.00 μB per formula unit.

Cell lengths 6.8935, 6.8935, 6.8935 Å; angles 99.59, 99.59, 131.81 degrees
Element x y z (fractional)
1 Ho 0.0997 0.7001 0.7997
2 Ho 0.2999 0.0997 0.3996
3 Ho 0.7001 0.9003 0.6004
4 Ho 0.9003 0.2999 0.2003
5 Tm 0.5000 0.5000 0.0000
6 P 0.0000 0.0000 0.0000
7 P 0.2012 0.4003 0.6016
8 P 0.4003 0.7988 0.1991
9 P 0.5997 0.2012 0.8009
10 P 0.7988 0.5997 0.3984

***

(2)
Ho5TmP6: relaxed, PBE-GGA.

Computed properties:
For the formation energy, the calculation gives -1614 meV per atom. For the total magnetic moment, the calculation gives 0.00 μB per formula unit.

Cell lengths 6.8952, 6.8952, 6.8944 Å; angles 99.60, 99.60, 119.99 degrees
Element x y z (fractional)
1 Ho 0.0000 0.0000 0.0000
2 Ho 0.1666 0.8334 0.5000
3 Ho 0.3331 0.6669 0.0000
4 Ho 0.6669 0.3331 0.0000
5 Ho 0.8334 0.1666 0.5000
6 Tm 0.5000 0.5000 0.5000
7 P 0.0849 0.4169 0.2509
8 P 0.2511 0.2511 0.7494
9 P 0.4169 0.0849 0.2509
10 P 0.5831 0.9151 0.7491
11 P 0.7489 0.7489 0.2506
12 P 0.9151 0.5831 0.7491